This record from Alexandria via LeMat-Bulk describes crystalline Ce7PuGa4 at its relaxed geometry. The functional is PBE.

E_form = -0.17 eV/atom
DFT total energy = -140.09 eV/cell

Geometry as CIF:
```
data_Ce7PuGa4
_symmetry_space_group_name_H-M 'C 1 2/m 1'
_symmetry_Int_Tables_number 12
_cell_length_a 12.988
_cell_length_b 5.556
_cell_length_c 10.382
_cell_angle_alpha 90.00
_cell_angle_beta 124.09
_cell_angle_gamma 90.00
loop_
_symmetry_equiv_pos_as_xyz
'x,y,z'
'-x,-y,-z'
'-x,y,-z'
'x,-y,z'
'x+1/2,y+1/2,z'
'-x+1/2,-y+1/2,-z'
'-x+1/2,y+1/2,-z'
'x+1/2,-y+1/2,z'
loop_
_atom_site_label
_atom_site_type_symbol
_atom_site_fract_x
_atom_site_fract_y
_atom_site_fract_z
_atom_site_occupancy
Ce1 Ce 0.000 0.000 0.000 1
Ce2 Ce 0.062 0.500 0.359 1
Ce3 Ce 0.193 0.500 0.892 1
Ce4 Ce 0.214 0.000 0.646 1
Pu1 Pu 0.000 0.500 0.000 1
Ga1 Ga 0.054 0.000 0.755 1
Ga2 Ga 0.186 0.000 0.334 1
```